Entry from Alexandria: a relaxed Sr2LiBi2 crystal (GGA-PBE).

Its space group is P4/mbm, No. 127. The energy of formation is -0.66 eV per atom. The value obtained for the excess energy over the best structure of this formula in the dataset is 0.38 eV per formula unit. As for the volume: 34.41 Å³/atom.

The structure in CIF format:
```
data_Sr2LiBi2
_chemical_formula_sum 'Sr4 Li2 Bi4'
_space_group_name_H-M_alt 'P 1'
_space_group_IT_number 1
_cell_length_a 8.3094
_cell_length_b 8.3094
_cell_length_c 4.9835
_cell_angle_alpha 90.00
_cell_angle_beta 90.00
_cell_angle_gamma 90.00
loop_
_space_group_symop_operation_xyz
'x,y,z'
loop_
_atom_site_label
_atom_site_fract_x
_atom_site_fract_y
_atom_site_fract_z
Li1 0.5000 0.5000 0.0000
Li2 0.0000 0.0000 0.0000
Sr1 0.8306 0.3306 0.5000
Sr2 0.3306 0.1694 0.5000
Sr3 0.6694 0.8306 0.5000
Sr4 0.1694 0.6694 0.5000
Bi1 0.6364 0.1364 0.0000
Bi2 0.3636 0.8636 0.0000
Bi3 0.8636 0.6364 0.0000
Bi4 0.1364 0.3636 0.0000
```

Entry from Alexandria: a relaxed Sr5Li2Bi5 crystal (GGA-PBE).

Its space group is C2/m, No. 12. The energy of formation is -0.79 eV per atom. As for the volume: 33.71 Å³/atom.

The structure in CIF format:
```
data_Sr5Li2Bi5
_chemical_formula_sum 'Sr5 Li2 Bi5'
_space_group_name_H-M_alt 'P 1'
_space_group_IT_number 1
_cell_length_a 4.8448
_cell_length_b 8.9840
_cell_length_c 9.9594
_cell_angle_alpha 83.76
_cell_angle_beta 75.92
_cell_angle_gamma 74.36
loop_
_space_group_symop_operation_xyz
'x,y,z'
loop_
_atom_site_label
_atom_site_fract_x
_atom_site_fract_y
_atom_site_fract_z
Sr1 0.6041 0.7080 0.0837
Sr2 0.3090 0.0609 0.3211
Sr3 0.6910 0.9391 0.6789
Sr4 0.3959 0.2920 0.9163
Sr5 0.5000 0.5000 0.5000
Bi1 0.7511 0.3187 0.1790
Bi2 0.0000 0.0000 0.0000
Bi3 0.2489 0.6813 0.8210
Bi4 0.9390 0.7622 0.3598
Bi5 0.0610 0.2378 0.6402
Li1 0.1429 0.4617 0.2525
Li2 0.8571 0.5383 0.7475
```

Entry from Alexandria: a relaxed Sr2Li2Bi crystal (GGA-PBE).

Its space group is I4/mmm, No. 139. The energy of formation is -0.27 eV per atom. The value obtained for the excess energy over the best structure of this formula in the dataset is 0.41 eV per formula unit. As for the volume: 35.61 Å³/atom.

The structure in CIF format:
```
data_Sr2Li2Bi
_chemical_formula_sum 'Sr2 Li2 Bi1'
_space_group_name_H-M_alt 'P 1'
_space_group_IT_number 1
_cell_length_a 4.1750
_cell_length_b 4.1750
_cell_length_c 10.6318
_cell_angle_alpha 78.68
_cell_angle_beta 78.68
_cell_angle_gamma 90.00
loop_
_space_group_symop_operation_xyz
'x,y,z'
loop_
_atom_site_label
_atom_site_fract_x
_atom_site_fract_y
_atom_site_fract_z
Li1 0.7500 0.2500 0.5000
Li2 0.2500 0.7500 0.5000
Sr1 0.4067 0.4067 0.1865
Sr2 0.5933 0.5933 0.8135
Bi1 0.0000 0.0000 0.0000
```

Copy entry 3 word for word.
Entry from Alexandria: a relaxed Sr2Li2Bi crystal (GGA-PBE).

Its space group is I4/mmm, No. 139. The energy of formation is -0.27 eV per atom. The value obtained for the excess energy over the best structure of this formula in the dataset is 0.41 eV per formula unit. As for the volume: 35.61 Å³/atom.

The structure in CIF format:
```
data_Sr2Li2Bi
_chemical_formula_sum 'Sr2 Li2 Bi1'
_space_group_name_H-M_alt 'P 1'
_space_group_IT_number 1
_cell_length_a 4.1750
_cell_length_b 4.1750
_cell_length_c 10.6318
_cell_angle_alpha 78.68
_cell_angle_beta 78.68
_cell_angle_gamma 90.00
loop_
_space_group_symop_operation_xyz
'x,y,z'
loop_
_atom_site_label
_atom_site_fract_x
_atom_site_fract_y
_atom_site_fract_z
Li1 0.7500 0.2500 0.5000
Li2 0.2500 0.7500 0.5000
Sr1 0.4067 0.4067 0.1865
Sr2 0.5933 0.5933 0.8135
Bi1 0.0000 0.0000 0.0000
```

Copy entry 3 word for word.
Entry from Alexandria: a relaxed Sr2Li2Bi crystal (GGA-PBE).

Its space group is I4/mmm, No. 139. The energy of formation is -0.27 eV per atom. The value obtained for the excess energy over the best structure of this formula in the dataset is 0.41 eV per formula unit. As for the volume: 35.61 Å³/atom.

The structure in CIF format:
```
data_Sr2Li2Bi
_chemical_formula_sum 'Sr2 Li2 Bi1'
_space_group_name_H-M_alt 'P 1'
_space_group_IT_number 1
_cell_length_a 4.1750
_cell_length_b 4.1750
_cell_length_c 10.6318
_cell_angle_alpha 78.68
_cell_angle_beta 78.68
_cell_angle_gamma 90.00
loop_
_space_group_symop_operation_xyz
'x,y,z'
loop_
_atom_site_label
_atom_site_fract_x
_atom_site_fract_y
_atom_site_fract_z
Li1 0.7500 0.2500 0.5000
Li2 0.2500 0.7500 0.5000
Sr1 0.4067 0.4067 0.1865
Sr2 0.5933 0.5933 0.8135
Bi1 0.0000 0.0000 0.0000
```

> volume of number 3 (Sr2Li2Bi)?

35.61 Å³/atom